# 1
Al2H12Se3O15 | GGA-PBEsol | optimized geometry

```
data_Al2H12Se3O15
_chemical_formula_sum 'Al4 H24 Se6 O30'
_symmetry_space_group_name_H-M 'P -6 2 c'
_symmetry_Int_Tables_number 190
_symmetry_space_group_name_Hall 'P -6c -2c'
_cell_length_a 8.6897
_cell_length_b 8.6897
_cell_length_c 10.7967
_cell_angle_alpha 90.00
_cell_angle_beta 90.00
_cell_angle_gamma 120.00
loop_
_atom_site_label
_atom_site_fract_x
_atom_site_fract_y
_atom_site_fract_z
_atom_site_occupancy
Al1 0.3333 0.6667 0.0280 1
H1 0.0526 0.4759 0.5958 1
H2 0.2001 0.4182 0.6393 1
Se1 0.1239 0.7380 0.2500 1
O1 0.0944 0.7685 0.7500 1
O2 0.1294 0.6109 0.1270 1
O3 0.1658 0.4777 0.5715 1
```

Computed properties:
Total magnetic moment ... 0.00 μB/cell
Calculated volume ... 353.0 Å³/f.u.
Excess energy over the best structure of this formula in the dataset ... 0.0 kJ/mol of atoms
Energy ... -360.78 eV for the cell shown



# 2
SrMgAgHg2 | GGA-PBEsol | optimized geometry

```
data_SrMgAgHg2
_chemical_formula_sum 'Sr1 Mg1 Ag1 Hg2'
_symmetry_space_group_name_H-M 'P 4/m m m'
_symmetry_Int_Tables_number 123
_symmetry_space_group_name_Hall '-P 4 2'
_cell_length_a 6.0036
_cell_length_b 6.0036
_cell_length_c 6.3720
_cell_angle_alpha 90.00
_cell_angle_beta 90.00
_cell_angle_gamma 90.00
loop_
_atom_site_label
_atom_site_fract_x
_atom_site_fract_y
_atom_site_fract_z
_atom_site_occupancy
Sr1 0.0000 0.0000 0.0000 1
Mg1 0.0000 0.0000 0.5000 1
Ag1 0.5000 0.5000 0.5000 1
Hg1 0.0000 0.5000 0.0000 1
```

Computed properties:
Total magnetic moment ... 0.00 μB/cell
Calculated formation energy ... 0.812 eV/atom
Calculated volume ... 229.7 Å³/f.u.
Energy ... -3.94 eV for the cell shown



# 3
YCu | GGA-PBEsol | optimized geometry

```
data_YCu
_chemical_formula_sum 'Y4 Cu4'
_symmetry_space_group_name_H-M 'P n m a'
_symmetry_Int_Tables_number 62
_symmetry_space_group_name_Hall '-P 2ac 2n'
_cell_length_a 7.0568
_cell_length_b 4.4112
_cell_length_c 5.3001
_cell_angle_alpha 90.00
_cell_angle_beta 90.00
_cell_angle_gamma 90.00
loop_
_atom_site_label
_atom_site_fract_x
_atom_site_fract_y
_atom_site_fract_z
_atom_site_occupancy
Y1 0.1812 0.2500 0.1328 1
Cu1 0.0317 0.2500 0.6237 1
```

Computed properties:
Total magnetic moment ... 0.00 μB/cell
Calculated formation energy ... -0.247 eV/atom
Calculated volume ... 41.2 Å³/f.u.
Energy ... -46.60 eV for the cell shown



# 4
CsPSCl2 | GGA-PBEsol | optimized geometry

```
data_CsPSCl2
_chemical_formula_sum 'Cs1 P1 S1 Cl2'
_symmetry_space_group_name_H-M 'P 4/m m m'
_symmetry_Int_Tables_number 123
_symmetry_space_group_name_Hall '-P 4 2'
_cell_length_a 6.2060
_cell_length_b 6.2060
_cell_length_c 5.5889
_cell_angle_alpha 90.00
_cell_angle_beta 90.00
_cell_angle_gamma 90.00
loop_
_atom_site_label
_atom_site_fract_x
_atom_site_fract_y
_atom_site_fract_z
_atom_site_occupancy
Cs1 0.0000 0.0000 0.0000 1
P1 0.5000 0.5000 0.5000 1
S1 0.0000 0.0000 0.5000 1
Cl1 0.0000 0.5000 0.0000 1
```

Computed properties:
Formation energy from raw total energies ... 0.970 eV per atom
Total magnetic moment ... 3.80 μB/cell
Calculated volume ... 215.3 Å³/f.u.
Energy ... -10.28 eV for the cell shown



Number 1: D(E_F) 0.0 states/eV/cell. Number 2: D(E_F) 2.5 states/eV/cell. Number 3: D(E_F) 4.4 states/eV/cell. Number 4: D(E_F) 15.4 states/eV/cell.